Ac2ScI: relaxed, PBE.

abc: 3.922 3.922 9.659
angles: 90.00 90.00 90.00
Atoms (fractional coordinates):
I (0.500, 0.500, 0.500)
Sc (0.500, 0.500, 0.000)
Ac (0.000, 0.000, 0.762)
Ac (0.000, 0.000, 0.238)

Values from the calculation:
E above lowest polymorph = 0.000 eV/atom
Space-group type = P4/mmm, No. 123
Formation energy from raw total energies = -0.335 eV per atom
Total magnetic moment = 0.00 μB/f.u.